An optimized crystal structure of FeP2RuO, computed with PBE with a Hubbard U.

```
data_FeP2RuO
_chemical_formula_sum 'Fe1 P2 Ru1 O1'
_cell_length_a 4.5364
_cell_length_b 4.5364
_cell_length_c 3.2834
_cell_angle_alpha 90.00
_cell_angle_beta 90.00
_cell_angle_gamma 90.00
_space_group_name_H-M_alt 'P 4/m m m'
_space_group_IT_number 123
_space_group_name_Hall '-P 4 2'
loop_
_atom_site_label
_atom_site_type_symbol
_atom_site_fract_x
_atom_site_fract_y
_atom_site_fract_z
Fe1 Fe 0.0000 0.0000 0.0000
P1 P 0.0000 0.5000 0.0000
Ru1 Ru 0.5000 0.5000 0.5000
O1 O 0.0000 0.0000 0.5000
```

## Properties
* volume: 67.6 Å³/cell
* D(E_F): 3.26 states/eV per cell
* uncorrected energy: -5.32 eV per atom
* offset from the most stable computed form: 0.458 eV/atom